Here is MnTlS after structural relaxation from Alexandria. Energies are from PBE.

extended XYZ file:
```
6
Lattice="-2.9627 1.2524 2.0693 0.5118 -2.8733 2.4718 5.1800 4.8025 4.5099" Properties=species:S:1:pos:R:3 pbc="T T T"
S 1.7999 3.6683 3.8914
S 2.1547 0.3237 2.8890
Tl -0.6006 1.4428 1.8015
Tl 4.5551 2.5493 4.9789
Mn 1.3646 1.5908 4.5255
Mn 2.5900 2.4012 2.2549
```

As for the crystal system: tetragonal. The space group is No. 129. Its density of states at the Fermi level is 0.777 states/eV/atom. The calculation puts the energy relative to the elements, uncorrected at -0.27 eV/atom.

Here is FeSnBr2 after structural relaxation from Alexandria. Energies are from PBE.

extended XYZ file:
```
4
Lattice="9.0135 -1.0990 3.1549 9.2785 -2.5098 -0.1153 9.5523 1.0227 0.3331" Properties=species:S:1:pos:R:3 pbc="T T T"
Sn 0.0000 0.0000 0.0000
Br 24.7741 -2.3009 3.0008
Br 3.0702 -0.2851 0.3719
Fe 13.9222 -1.2930 1.6863
```

As for the crystal system: trigonal. The space group is No. 166. Its density of states at the Fermi level is 0.643 states/eV/atom. The offset from the most stable computed form is 0 meV per atom. The calculation puts the energy relative to the elements, uncorrected at -0.15 eV/atom.

Here is ScMnAl3 after structural relaxation from Alexandria. Energies are from PBE.

extended XYZ file:
```
5
Lattice="-3.2152 0.9454 -3.8709 -0.9383 -5.0136 -0.4452 -3.8726 0.4298 3.3216" Properties=species:S:1:pos:R:3 pbc="T T T"
Sc 0.0000 0.0000 0.0000
Mn -4.0130 -1.8192 -0.4972
Al -0.4691 -2.5068 -0.2226
Al -1.9363 0.2149 1.6608
Al -1.6076 0.4727 -1.9354
```

As for the crystal system: cubic. The space group is No. 221. Its density of states at the Fermi level is 0.949 states/eV/atom. The offset from the most stable computed form is 1440 meV per atom. For the formation energy, the calculation gives 1181 meV per atom.

Here is Tb2PuSi3Pt4 after structural relaxation from Alexandria. Energies are from PBE.

extended XYZ file:
```
10
Lattice="4.2027 0.0000 0.0000 0.0000 4.2027 0.0000 0.0000 0.0000 10.9644" Properties=species:S:1:pos:R:3 pbc="T T T"
Tb 2.1014 0.0000 2.4745
Tb 0.0000 2.1014 8.4899
Pu 2.1014 2.1014 5.4822
Si 0.0000 0.0000 5.4822
Si 2.1014 0.0000 9.6577
Si 0.0000 2.1014 1.3067
Pt 2.1014 2.1014 0.0000
Pt 0.0000 0.0000 0.0000
Pt 2.1014 0.0000 7.3076
Pt 0.0000 2.1014 3.6568
```

As for the crystal system: tetragonal. The space group is No. 115. Its density of states at the Fermi level is 1.168 states/eV/atom. The calculation puts the energy relative to the elements, uncorrected at -0.95 eV/atom.

Here is Cs3LaSm2Se6 after structural relaxation from Alexandria. Energies are from PBE.

extended XYZ file:
```
12
Lattice="-2.0883 -3.8646 -6.2289 7.2438 -0.2055 2.3625 -3.4552 -5.3489 6.0311" Properties=species:S:1:pos:R:3 pbc="T T T"
Cs 3.9675 -3.4872 3.9523
Cs -2.2672 -5.9318 -1.7876
Cs 0.8501 -4.7095 1.0824
La 0.0000 0.0000 0.0000
Sm 4.1335 -1.4251 -0.5009
Sm 1.0220 -2.6451 -3.3655
Se -0.4323 -8.0787 0.4634
Se 3.0752 -3.9556 -1.6556
Se 2.1325 -1.3404 1.7013
Se 2.7389 -6.8353 3.3829
Se -1.3750 -5.4634 3.8203
Se -1.0387 -2.5837 -1.2182
```

As for the crystal system: monoclinic. The space group is No. 12. Its density of states at the Fermi level is 0.000 states/eV/atom. The calculation puts the energy relative to the elements, uncorrected at -1.76 eV/atom.

Here is Na3Tl2Cd after structural relaxation from Alexandria. Energies are from PBE.

extended XYZ file:
```
12
Lattice="4.6718 0.0000 0.0221 2.3359 7.3624 0.0111 -0.0450 0.0000 9.7047" Properties=species:S:1:pos:R:3 pbc="T T T"
Na 4.6400 2.4481 7.3143
Na 2.3226 0.0000 2.4147
Na 2.3227 4.9143 2.4236
Na 4.6586 2.4481 2.4346
Na 2.3041 4.9143 7.3032
Na 2.3042 0.0000 7.3121
Tl 0.0000 0.0000 0.0000
Tl -0.0225 0.0000 4.8523
Tl 2.3134 2.4696 4.8634
Tl 4.6493 4.8928 4.8745
Cd 2.3359 2.5469 0.0111
Cd 4.6719 4.8155 0.0221
```

As for the crystal system: orthorhombic. The space group is No. 65. Its density of states at the Fermi level is 0.469 states/eV/atom. The offset from the most stable computed form is 0 meV per atom. For the formation energy, the calculation gives -87 meV per atom.